Computed, not measured: a relaxed structure of MgCd3Sb at the PBE level of DFT.

Cell lengths 5.637, 5.637, 5.637 Å; angles 90.00, 90.00, 90.00 degrees
Space group Pm-3m (No. 221)
One atom of each set of equivalent atoms:
Mg 0.000 0.000 0.000
Cd 0.000 0.500 0.500
Sb 0.500 0.500 0.500

Properties
Formation energy without anion corrections, meV per atom: 400
Magnetization, μB/f.u.: 0.0
Relative energy among the computed polymorphs, meV per atom: 0
DOS at the Fermi energy, states/eV/atom: 0.29